Crystalline RbCaSb2 at its relaxed geometry, computed with PBE-GGA.

It has space group P4/mmm (No. 123), with a = 4.2849 Å, b = 4.2849 Å, c = 7.8056 Å, α = 90.00°, β = 90.00° and γ = 90.00°. The inequivalent atoms are Rb at (0.0000, 0.0000, 0.0000), Ca at (0.0000, 0.0000, 0.5000) and Sb at (0.5000, 0.5000, 0.3192).

For the relative energy among the computed polymorphs, the calculation gives 0.000 eV per atom. As for the uncorrected formation energy: -0.635 eV per atom. Its volume is 35.83 Å³/atom. As for the density of states at the Fermi level: 1.44 states/eV/f.u. For the total energy, the calculation gives -3.439 eV per atom. As for the mass density: 4.28 g/cm3.